# Al2SiRh (PBE-GGA, relaxed)
# Total DFT energy (no corrections)   -5.381 eV per atom
# E_form (uncorrected)   -30.5 kJ per mole of atoms
data_Al2SiRh
_cell_length_a 3.947
_cell_length_b 3.947
_cell_length_c 3.659
_cell_angle_alpha 90.00
_cell_angle_beta 90.00
_cell_angle_gamma 90.00
_symmetry_space_group_name_H-M 'P 4/m m m'
_symmetry_Int_Tables_number 123
_symmetry_space_group_name_Hall '-P 4 2'
loop_
_atom_site_label
_atom_site_fract_x
_atom_site_fract_y
_atom_site_fract_z
Al1 0.000 0.500 0.000
Si1 0.000 0.000 0.500
Rh1 0.500 0.500 0.500